# PBE CaY2Be, relaxed
data_CaY2Be
_chemical_formula_sum 'Ca2 Y4 Be2'
_cell_length_a 6.438
_cell_length_b 11.214
_cell_length_c 3.427
_cell_angle_alpha 90.00
_cell_angle_beta 115.61
_cell_angle_gamma 90.00
_space_group_name_H-M_alt 'C 1 2/m 1'
_space_group_IT_number 12
loop_
_space_group_symop_operation_xyz
'x,y,z'
'-x,-y,-z'
'-x,y,-z'
'x,-y,z'
'x+1/2,y+1/2,z'
'-x+1/2,-y+1/2,-z'
'-x+1/2,y+1/2,-z'
'x+1/2,-y+1/2,z'
loop_
_atom_site_label
_atom_site_type_symbol
_atom_site_fract_x
_atom_site_fract_y
_atom_site_fract_z
_atom_site_occupancy
Ca1 Ca 0.000 0.000 0.000 1
Y1 Y 0.250 0.250 0.500 1
Be1 Be 0.000 0.500 0.000 1
# Total magnetic moment, μB per formula unit: 0.0
# Uncorrected energy, eV/cell: -33.381